(1)
# BeTe2N, relaxed, DFT PBE-GGA
data_BeTe2N
_chemical_formula_sum 'Be3 Te6 N3'
_symmetry_space_group_name_H-M 'R -3 m'
_symmetry_Int_Tables_number 166
_symmetry_space_group_name_Hall '-R 3 2"'
_cell_length_a 3.9881
_cell_length_b 3.9881
_cell_length_c 19.7234
_cell_angle_alpha 90.00
_cell_angle_beta 90.00
_cell_angle_gamma 120.00
loop_
_atom_site_label
_atom_site_type_symbol
_atom_site_fract_x
_atom_site_fract_y
_atom_site_fract_z
_atom_site_occupancy
Be1 Be 0.0000 0.0000 0.0000 1
Te1 Te 0.0000 0.0000 0.4018 1
N1 N 0.0000 0.0000 0.5000 1
# Density ... 5.102 g cm⁻³
# Energy relative to the elements, uncorrected ... 291 kJ/mol of formula units



(2)
# Be2TeN, relaxed, DFT PBE-GGA
data_Be2TeN
_chemical_formula_sum 'Be8 Te4 N4'
_symmetry_space_group_name_H-M 'I -4 2 d'
_symmetry_Int_Tables_number 122
_symmetry_space_group_name_Hall 'I -4 2bw'
_cell_length_a 4.939
_cell_length_b 4.939
_cell_length_c 8.832
_cell_angle_alpha 90.00
_cell_angle_beta 90.00
_cell_angle_gamma 90.00
loop_
_atom_site_label
_atom_site_type_symbol
_atom_site_fract_x
_atom_site_fract_y
_atom_site_fract_z
_atom_site_occupancy
Be1 Be 0.083 0.250 0.125 1
Te1 Te 0.000 0.000 0.500 1
N1 N 0.000 0.000 0.000 1
# Density ... 4.922 g cm⁻³
# Energy relative to the elements, uncorrected ... -114 kJ/mol of formula units



(3)
# BeTe2N, relaxed, DFT PBE-GGA
data_BeTe2N
_chemical_formula_sum 'Be3 Te6 N3'
_symmetry_space_group_name_H-M 'R -3 m'
_symmetry_Int_Tables_number 166
_symmetry_space_group_name_Hall '-R 3 2"'
_cell_length_a 3.4071
_cell_length_b 3.4071
_cell_length_c 23.8352
_cell_angle_alpha 90.00
_cell_angle_beta 90.00
_cell_angle_gamma 120.00
loop_
_atom_site_label
_atom_site_type_symbol
_atom_site_fract_x
_atom_site_fract_y
_atom_site_fract_z
_atom_site_occupancy
Be1 Be 0.0000 0.0000 0.0000 1
Te1 Te 0.0000 0.0000 0.0994 1
N1 N 0.0000 0.0000 0.5000 1
# Density ... 5.784 g cm⁻³
# Energy relative to the elements, uncorrected ... 474 kJ/mol of formula units



(4)
# BeTe2N, relaxed, DFT PBE-GGA
data_BeTe2N
_chemical_formula_sum 'Be4 Te8 N4'
_symmetry_space_group_name_H-M 'I -4 2 d'
_symmetry_Int_Tables_number 122
_symmetry_space_group_name_Hall 'I -4 2bw'
_cell_length_a 5.226
_cell_length_b 5.226
_cell_length_c 12.305
_cell_angle_alpha 90.00
_cell_angle_beta 90.00
_cell_angle_gamma 90.00
loop_
_atom_site_label
_atom_site_type_symbol
_atom_site_fract_x
_atom_site_fract_y
_atom_site_fract_z
_atom_site_occupancy
Be1 Be 0.000 0.000 0.000 1
Te1 Te 0.226 0.250 0.625 1
N1 N 0.000 0.000 0.500 1
# Density ... 5.499 g cm⁻³
# Energy relative to the elements, uncorrected ... 261 kJ/mol of formula units



(5)
# BeTe2N, relaxed, DFT PBE-GGA
data_BeTe2N
_chemical_formula_sum 'Be4 Te8 N4'
_symmetry_space_group_name_H-M 'F m -3 m'
_symmetry_Int_Tables_number 225
_symmetry_space_group_name_Hall '-F 4 2 3'
_cell_length_a 6.467
_cell_length_b 6.467
_cell_length_c 6.467
_cell_angle_alpha 90.00
_cell_angle_beta 90.00
_cell_angle_gamma 90.00
loop_
_atom_site_label
_atom_site_type_symbol
_atom_site_fract_x
_atom_site_fract_y
_atom_site_fract_z
_atom_site_occupancy
Be1 Be 0.000 0.000 0.000 1
Te1 Te 0.250 0.250 0.250 1
N1 N 0.000 0.000 0.500 1
# Density ... 6.833 g cm⁻³
# Energy relative to the elements, uncorrected ... 513 kJ/mol of formula units



(6)
# BeTe3N, relaxed, DFT PBE-GGA
data_BeTe3N
_chemical_formula_sum 'Be1 Te3 N1'
_symmetry_space_group_name_H-M 'P m -3 m'
_symmetry_Int_Tables_number 221
_symmetry_space_group_name_Hall '-P 4 2 3'
_cell_length_a 4.713
_cell_length_b 4.713
_cell_length_c 4.713
_cell_angle_alpha 90.00
_cell_angle_beta 90.00
_cell_angle_gamma 90.00
loop_
_atom_site_label
_atom_site_type_symbol
_atom_site_fract_x
_atom_site_fract_y
_atom_site_fract_z
_atom_site_occupancy
Be1 Be 0.000 0.000 0.000 1
Te1 Te 0.000 0.500 0.500 1
N1 N 0.500 0.500 0.500 1
# Density ... 6.436 g cm⁻³
# Energy relative to the elements, uncorrected ... 505 kJ/mol of formula units



For each record above, in turn, the calculated calculated total energy values are -15.32, -20.10, -13.43, -15.63, -13.02, -16.25 eV/f.u..